# 1
Material: Cd2TcCl
Method: DFT, GGA-PBE
State: relaxed

Properties
**Offset from the most stable computed form**: 492 meV per atom
**E_form (uncorrected)**: 0.612 eV per atom
**DOS at the Fermi energy**: 3.64 states/eV/f.u.
**Volume**: 78.7 Å³/cell
**Symmetry**: I4/mmm (139)

abc: 5.5977 5.5977 5.5977
angles: 137.65 137.65 61.44
Closest atoms and distances in Å follow each position.
Sites, in units of the cell vectors:
1 Tc 0.7500 0.2500 0.5000  4 Cl 2.86, 8 Cd 3.14
2 Cd 0.0000 0.0000 0.0000  4 Cd 2.86, 4 Tc 3.14, 4 Cl 3.14
3 Cd 0.5000 0.5000 0.0000  4 Cd 2.86, 4 Cl 3.14, 4 Tc 3.14
4 Cl 0.2500 0.7500 0.5000  4 Tc 2.86, 8 Cd 3.14

---

# 2
Material: Si3AgH
Method: DFT, GGA-PBE
State: relaxed

Properties
**Offset from the most stable computed form**: 935 meV per atom
**DOS at the Fermi energy**: 2.47 states/eV/f.u.
**Volume**: 114.2 Å³/cell
**Symmetry**: Pm-3m (221)

abc: 4.8518 4.8518 4.8518
angles: 90.00 90.00 90.00
Closest atoms and distances in Å follow each position.
Sites, in units of the cell vectors:
1 Si 0.5000 0.0000 0.0000  2 Ag 2.43
2 Si 0.0000 0.0000 0.5000  2 Ag 2.43
3 Si 0.0000 0.5000 0.0000  2 Ag 2.43
4 Ag 0.0000 0.0000 0.0000  6 Si 2.43
5 H 0.5000 0.5000 0.5000  12 Si 3.43

---

# 3
Material: AlAgC
Method: DFT, GGA-PBE
State: relaxed

Properties
**DOS at the Fermi energy**: 0.70 states/eV/f.u.
**E_form**: 0.361 eV per atom
**Volume**: 96.2 Å³/cell
**Symmetry**: P-1 (2)

abc: 3.7049 8.8048 3.0666
angles: 100.13 90.02 77.93
Closest atoms and distances in Å follow each position.
Sites, in units of the cell vectors:
1 Al 0.3081 0.9019 0.5740  2 C 2.01
2 Al 0.5395 0.4410 0.3400  2 C 2.01
3 Ag 0.7202 0.0780 0.1597  5 Al 2.82-3.08, 6 Ag 2.88-3.07
4 Ag 0.1273 0.2649 0.7543  5 Al 2.82-3.07, 6 Ag 2.88-3.07
5 C 0.4626 0.5947 0.9161  1 C 1.30
6 C 0.3850 0.7482 0.9980  1 C 1.30

---

# 4
Material: CdPtW3
Method: DFT, GGA-PBE
State: relaxed

Properties
**Offset from the most stable computed form**: 975 meV per atom
**DOS at the Fermi energy**: 5.16 states/eV/f.u.
**E_form**: 2.999 eV per atom
**Volume**: 108.2 Å³/cell
**Symmetry**: Pm-3m (221)

abc: 4.7647 4.7647 4.7647
angles: 90.00 90.00 90.00
Closest atoms and distances in Å follow each position.
Sites, in units of the cell vectors:
1 Cd 0.0000 0.0000 0.0000  6 W 2.38
2 W 0.0000 0.0000 0.5000  2 Cd 2.38
3 W 0.0000 0.5000 0.0000  2 Cd 2.38
4 W 0.5000 0.0000 0.0000  2 Cd 2.38
5 Pt 0.5000 0.5000 0.5000  12 W 3.37

---

# 5
Material: Cr2RhBr
Method: DFT, GGA-PBE
State: relaxed

Properties
**Offset from the most stable computed form**: 442 meV per atom
**E_form (uncorrected)**: 0.774 eV per atom
**DOS at the Fermi energy**: 4.30 states/eV/f.u.
**Volume**: 55.7 Å³/cell
**Symmetry**: Immm (71)

abc: 5.1276 5.1276 5.1276
angles: 146.80 130.36 61.03
Closest atoms and distances in Å follow each position.
Sites, in units of the cell vectors:
1 Cr 0.0194 0.0194 0.0000  2 Br 2.51, 4 Cr 2.63, 2 Rh 2.79
2 Cr 0.4806 0.4806 0.0000  2 Br 2.51, 4 Cr 2.63, 2 Rh 2.79
3 Rh 0.7500 0.2500 0.5000  4 Br 2.60, 4 Cr 2.79
4 Br 0.2500 0.7500 0.5000  4 Cr 2.51, 4 Rh 2.60

---

# 6
Material: PmThGa4
Method: DFT, GGA-PBE
State: relaxed

Properties
**Offset from the most stable computed form**: 0 meV per atom
**DOS at the Fermi energy**: 1.91 states/eV/f.u.
**E_form**: -0.665 eV per atom
**Volume**: 134.2 Å³/cell
**Symmetry**: I-4m2 (119)

abc: 4.2574 4.2574 7.9951
angles: 105.44 105.44 90.00
Closest atoms and distances in Å follow each position.
Sites, in units of the cell vectors:
1 Ga 0.5831 0.5831 0.1662  3 Ga 2.46-2.47
2 Ga 0.4169 0.4169 0.8338  3 Ga 2.46-2.47
3 Ga 0.6675 0.1675 0.3350  3 Ga 2.44-2.47
4 Ga 0.8325 0.3325 0.6650  3 Ga 2.44-2.47
5 Th 0.0000 0.0000 0.0000  12 Ga 3.25-3.27
6 Pm 0.2500 0.7500 0.5000  12 Ga 3.25-3.26

---

# 7
Material: BaSrCa2Ge
Method: DFT, GGA-PBE
State: relaxed

Properties
**Offset from the most stable computed form**: 0 meV per atom
**DOS at the Fermi energy**: 5.55 states/eV/f.u.
**E_form**: -0.215 eV per atom
**Volume**: 219.7 Å³/cell
**Symmetry**: P4/mmm (123)

abc: 5.9388 5.9388 6.2296
angles: 90.00 90.00 90.00
Closest atoms and distances in Å follow each position.
Sites, in units of the cell vectors:
1 Ca 0.5000 0.0000 0.0000  2 Ge 2.97
2 Ca 0.0000 0.5000 0.0000  2 Ge 2.97
3 Ge 0.0000 0.0000 0.0000  4 Ca 2.97, 2 Sr 3.11
4 Sr 0.0000 0.0000 0.5000  2 Ge 3.11
5 Ba 0.5000 0.5000 0.5000  4 Sr 4.20, 8 Ca 4.30

---

# 8
Material: CdSbRu2
Method: DFT, GGA-PBE
State: relaxed

Properties
**E_form (uncorrected)**: 0.274 eV per atom
**DOS at the Fermi energy**: 3.14 states/eV/f.u.
**Volume**: 71.4 Å³/cell
**Symmetry**: C2/m (12)

abc: 4.4919 4.4919 5.5771
angles: 79.70 79.70 40.30
Closest atoms and distances in Å follow each position.
Sites, in units of the cell vectors:
1 Ru 0.4951 0.4951 0.5347  3 Sb 2.65-2.68, 3 Cd 2.84-2.87, 2 Ru 2.87
2 Ru 0.0049 0.0049 0.9653  3 Sb 2.65-2.68, 3 Cd 2.84-2.87, 2 Ru 2.87
3 Cd 0.2500 0.2500 0.2500  6 Ru 2.84-2.87, 2 Cd 3.09
4 Sb 0.7500 0.7500 0.7500  6 Ru 2.65-2.68

---

What is the volume in the sixth record?
134.2 Å³/cell

---

Among the records above, which one has the highest DOS at the Fermi energy?
BaSrCa2Ge